# 1
The following is a GGA-PBE calculation of a relaxed structure of PrY2Au, from the Alexandria database.

Output
- Relative energy among the computed polymorphs: 20.2 meV/atom
- SG: No. 63

The structure in POSCAR format:
```
PrY2Au
1.0
-1.1059 3.9791 -2.8614
-5.1944 -3.9868 0.8819
-1.9976 4.0056 6.3423
Y Pr Au
4 2 2
direct
0.6468 0.2935 0.0337 Y
0.6468 0.2935 0.4663 Y
0.3532 0.7065 0.5337 Y
0.3532 0.7065 0.9663 Y
0.9520 0.9041 0.2500 Pr
0.0480 0.0959 0.7500 Pr
0.7982 0.5966 0.7500 Au
0.2018 0.4034 0.2500 Au
```

=====

# 2
The following is a GGA-PBE calculation of a relaxed structure of PrYAu, from the Alexandria database.

Output
- Relative energy among the computed polymorphs: 42.5 meV/atom
- SG: No. 107

The structure in POSCAR format:
```
PrYAu
1.0
-3.0259 -1.7964 -1.0357
1.6589 -0.9978 -3.1158
2.8379 -3.8646 4.9078
Y Au Pr
1 1 1
direct
0.3046 0.3046 0.6091 Y
0.6780 0.6780 0.3561 Au
0.0174 0.0174 0.0348 Pr
```

=====

# 3
The following is a GGA-PBE calculation of a relaxed structure of PrYAu, from the Alexandria database.

Output
- Relative energy among the computed polymorphs: 0.0 meV/atom
- SG: No. 129

The structure in POSCAR format:
```
PrYAu
1.0
4.8523 -0.5841 -0.0017
0.5838 4.8525 -0.0015
0.0025 0.0022 7.3981
Y Au Pr
2 2 2
direct
0.4806 0.9929 0.8788 Y
0.9806 0.4929 0.8788 Y
0.4806 0.4929 0.6531 Au
0.9806 0.9928 0.1046 Au
0.4804 0.4929 0.2591 Pr
0.9804 0.9929 0.4986 Pr
```

=====

# 4
The following is a GGA-PBE calculation of a relaxed structure of PrY2Au, from the Alexandria database.

Output
- Relative energy among the computed polymorphs: 139.1 meV/atom
- SG: No. 166

The structure in POSCAR format:
```
PrY2Au
1.0
3.7789 0.0000 0.0000
1.8895 3.2727 0.0000
1.8895 1.0909 10.0198
Y Au Pr
2 1 1
direct
0.2665 0.2665 0.2006 Y
0.7335 0.7335 0.7994 Y
0.0000 0.0000 0.0000 Au
0.5000 0.5000 0.5000 Pr
```

=====

# 5
The following is a GGA-PBE calculation of a relaxed structure of PrYAu2, from the Alexandria database.

Output
- Relative energy among the computed polymorphs: 135.0 meV/atom
- SG: No. 166

The structure in POSCAR format:
```
PrYAu2
1.0
4.3459 0.0000 0.0000
2.1729 3.7637 0.0000
2.1729 1.2546 6.8453
Au Y Pr
2 1 1
direct
0.7441 0.7441 0.7678 Au
0.2559 0.2559 0.2322 Au
0.0000 0.0000 0.0000 Y
0.5000 0.5000 0.5000 Pr
```

=====

# 6
The following is a GGA-PBE calculation of a relaxed structure of Pr2YAu4, from the Alexandria database.

Output
- Relative energy among the computed polymorphs: 350.9 meV/atom
- SG: No. 139

The structure in POSCAR format:
```
Pr2YAu4
1.0
-4.3188 -0.3473 3.1264
-2.9469 -1.4108 -4.2276
5.2035 -6.4605 1.9050
Au Y Pr
4 1 2
direct
0.8152 0.8152 0.6304 Au
0.5000 0.0000 0.0000 Au
0.1848 0.1848 0.3696 Au
0.0000 0.5000 0.0000 Au
0.0000 0.0000 0.0000 Y
0.3786 0.3786 0.7572 Pr
0.6214 0.6214 0.2428 Pr
```